The following is a DFT calculation (GGA+U) of a relaxed KMnH3C3O6 crystal.

## Properties
The calculation puts the final energy at -185.535 eV/cell. For the density of states at the Fermi level, the calculation gives 0.0 states/eV/f.u.

Cell: 7.2232 7.2232 7.1921 Å, 93.87 93.87 79.68°
Last column: nearest neighbours and their distance in Å.
Fractional positions:
K (0.1038, 0.8962, 0.7500)  8 O 2.82-2.93
K (0.8962, 0.1038, 0.2500)  8 O 2.82-2.93
Mn (0.0000, 0.5000, 0.0000)  6 O 2.20-2.24
Mn (0.5000, 0.0000, 0.5000)  6 O 2.20-2.24
H (0.3156, 0.4380, 0.5242)  1 C 1.11
H (0.3704, 0.6296, 0.2500)  1 C 1.11
H (0.4380, 0.3156, 0.0242)  1 C 1.11
H (0.5620, 0.6844, 0.9758)  1 C 1.11
H (0.6296, 0.3704, 0.7500)  1 C 1.11
H (0.6844, 0.5620, 0.4758)  1 C 1.11
C (0.2502, 0.7498, 0.2500)  1 H 1.11
C (0.2577, 0.3802, 0.6431)  1 H 1.11
C (0.3802, 0.2577, 0.1431)  1 H 1.11
C (0.6198, 0.7423, 0.8569)  1 H 1.11
C (0.7423, 0.6198, 0.3569)  1 H 1.11
C (0.7498, 0.2502, 0.7500)  1 H 1.11
O (0.1220, 0.7488, 0.1205)  1 C 1.27
O (0.1655, 0.5004, 0.7542)  1 C 1.27
O (0.2029, 0.2910, 0.1549)  1 C 1.27
O (0.2512, 0.8780, 0.3795)  1 C 1.27
O (0.2910, 0.2029, 0.6549)  1 C 1.27
O (0.5004, 0.1655, 0.2542)  1 C 1.27
O (0.4996, 0.8345, 0.7458)  1 C 1.27
O (0.7090, 0.7971, 0.3451)  1 C 1.27
O (0.7488, 0.1220, 0.6205)  1 C 1.27
O (0.7971, 0.7090, 0.8451)  1 C 1.27
O (0.8345, 0.4996, 0.2458)  1 C 1.27
O (0.8780, 0.2512, 0.8795)  1 C 1.27